First-principles (GGA-PBEsol) data for Zr2CdNiS after structural relaxation, as listed in Alexandria.

extended XYZ file:
```
5
Lattice="5.155 0.000 0.000 0.000 5.155 0.000 0.000 0.000 4.449" Properties=species:S:1:pos:R:3 pbc="T T T"
Zr 0.000 2.578 0.000
Zr 2.578 0.000 0.000
Cd 0.000 0.000 0.000
Ni 0.000 0.000 2.224
S 2.578 2.578 2.224
```

Values from the calculation:
The energy relative to the elements, uncorrected is 1.0296 eV/atom. The space group is P4/mmm. The energy is -24.8 eV/cell.

---

First-principles (GGA-PBEsol) data for Sr3NiO after structural relaxation, as listed in Alexandria.

extended XYZ file:
```
5
Lattice="5.411 0.000 0.000 0.000 5.411 0.000 0.000 0.000 5.411" Properties=species:S:1:pos:R:3 pbc="T T T"
Sr 0.000 0.000 2.705
Sr 0.000 2.705 0.000
Sr 2.705 0.000 0.000
Ni 0.000 0.000 0.000
O 2.705 2.705 2.705
```

Values from the calculation:
The energy relative to the elements, uncorrected is 0.0973 eV/atom. The space group is Pm-3m. The energy is -16.4 eV/cell.

---

First-principles (GGA-PBEsol) data for CdAgW2 after structural relaxation, as listed in Alexandria.

extended XYZ file:
```
4
Lattice="3.512 0.000 0.000 0.000 4.070 0.000 0.000 0.000 4.610" Properties=species:S:1:pos:R:3 pbc="T T T"
Cd 0.000 0.000 0.000
Ag 1.756 2.035 0.000
W 0.000 2.035 2.305
W 1.756 0.000 2.305
```

Values from the calculation:
The formation energy comes out at 0.61 eV/atom. The space group is Pmmm. The energy is -29.7 eV/cell.

---

First-principles (GGA-PBEsol) data for NaZnGe2Ir after structural relaxation, as listed in Alexandria.

extended XYZ file:
```
5
Lattice="4.697 0.000 0.000 0.000 4.697 0.000 0.000 0.000 4.430" Properties=species:S:1:pos:R:3 pbc="T T T"
Na 0.000 0.000 0.000
Zn 0.000 0.000 2.215
Ge 0.000 2.349 0.000
Ge 2.349 0.000 0.000
Ir 2.349 2.349 2.215
```

Values from the calculation:
The formation energy comes out at 1.62 eV/atom. The space group is P4/mmm. The energy is -14.6 eV/cell.